A plane-wave DFT calculation with PBE with a Hubbard U was carried out for a relaxed Cr3In2O8 crystal.

The structure in CIF format:
```
data_Cr3In2O8
_symmetry_space_group_name_H-M 'C 1 2 1'
_symmetry_Int_Tables_number 5
_cell_length_a 10.686
_cell_length_b 5.975
_cell_length_c 5.087
_cell_angle_alpha 90.00
_cell_angle_beta 109.96
_cell_angle_gamma 90.00
loop_
_symmetry_equiv_pos_as_xyz
'x,y,z'
'-x,y,-z'
'x+1/2,y+1/2,z'
'-x+1/2,y+1/2,-z'
loop_
_atom_site_label
_atom_site_type_symbol
_atom_site_fract_x
_atom_site_fract_y
_atom_site_fract_z
Cr1 Cr 0.000 0.000 0.000
Cr2 Cr 0.000 0.257 0.500
Cr3 Cr 0.000 0.741 0.500
In1 In 0.222 0.502 0.160
O1 O 0.104 0.509 0.423
O2 O 0.104 0.996 0.416
O3 O 0.114 0.773 0.892
O4 O 0.118 0.225 0.902
```

Computed properties:
magnetic moment: 16.00 Bohr magnetons per cell
total DFT energy (no corrections): -179.84 eV per cell